No. 1
La4AgIr | GGA-PBE | optimized geometry

a b c (Å): 10.0457 10.0457 10.0457
angles (deg): 60.00 60.00 60.00
Sites, in units of the cell vectors:
1 La 0.4010 0.4010 0.7969
2 Ir 0.1736 0.6088 0.6088
3 La 0.7969 0.4010 0.4010
4 Ir 0.6088 0.6088 0.1736
5 La 0.5585 0.5585 0.9415
6 La 0.8107 0.1893 0.1893
7 La 0.9415 0.9415 0.5585
8 Ag 0.1695 0.1695 0.1695
9 La 0.1893 0.8107 0.1893
10 Ir 0.6088 0.1736 0.6088
11 La 0.1893 0.8107 0.8107
12 Ir 0.6088 0.6088 0.6088
13 La 0.1893 0.1893 0.8107
14 La 0.8107 0.1893 0.8107
15 La 0.4010 0.4010 0.4010
16 La 0.9415 0.5585 0.9415
17 Ag 0.1695 0.4916 0.1695
18 Ag 0.1695 0.1695 0.4916
19 La 0.5585 0.9415 0.5585
20 La 0.5585 0.9415 0.9415
21 La 0.8107 0.8107 0.1893
22 La 0.9415 0.5585 0.5585
23 Ag 0.4916 0.1695 0.1695
24 La 0.4010 0.7969 0.4010

Computed properties:
ΔE to the lowest computed polymorph: 0.000 eV/atom
DFT formation energy: -418 meV per atom
total DFT energy (no corrections): -5.655 eV/atom
DOS at the Fermi energy: 24.06 states/eV per cell
magnetization: 0.00 μB per atom

No. 2
TaGePt2Cl | GGA-PBE | optimized geometry

a b c (Å): 5.0145 4.6257 5.0145
angles (deg): 90.00 90.00 90.00
Sites, in units of the cell vectors:
1 Pt 0.5000 0.0000 0.0000
2 Pt 0.0000 0.0000 0.5000
3 Ta 0.0000 0.0000 0.0000
4 Cl 0.0000 0.5000 0.0000
5 Ge 0.5000 0.5000 0.5000

Computed properties:
uncorrected formation energy: 2.4 eV/f.u.
total DFT energy (no corrections): -5.590 eV/atom
DOS at the Fermi energy: 3.05 states/eV per cell
magnetization: 0.00 μB per atom

No. 3
Pr3SmAl8 | GGA-PBE | optimized geometry

a b c (Å): 5.6855 5.6855 9.3772
angles (deg): 90.00 90.00 120.00
Sites, in units of the cell vectors:
1 Sm 0.0000 0.0000 0.5683
2 Al 0.3333 0.6667 0.9991
3 Al 0.1621 0.3243 0.2515
4 Al 0.5043 0.4957 0.7481
5 Pr 0.6667 0.3333 0.0686
6 Al 0.5043 0.0087 0.7481
7 Al 0.1621 0.8379 0.2515
8 Al 0.3333 0.6667 0.5008
9 Pr 0.0000 0.0000 0.9319
10 Al 0.9913 0.4957 0.7481
11 Pr 0.6667 0.3333 0.4324
12 Al 0.6757 0.8379 0.2515

Computed properties:
ΔE to the lowest computed polymorph: 0.013 eV/atom
DFT formation energy: -481 meV per atom
total DFT energy (no corrections): -4.564 eV/atom
DOS at the Fermi energy: 6.52 states/eV per cell
magnetization: 0.00 μB per atom